Material: MgZnAu3
Method: DFT, GGA-PBE
State: relaxed

Computed properties:
Crystal system ... cubic
Formation energy ... 0.799 eV/f.u.
Electronic total energy ... -11.90 eV per cell
Total magnetic moment ... 0.0 Bohr magnetons per cell

Cell lengths 4.8288, 4.8288, 4.8288 Å; angles 90.00, 90.00, 90.00 degrees
Sites, in units of the cell vectors:
Mg  0.0000  0.0000  0.0000
Zn  0.5000  0.5000  0.5000
Au  0.0000  0.5000  0.5000
Au  0.5000  0.0000  0.5000
Au  0.5000  0.5000  0.0000



Material: Sm10In3Sn3
Method: DFT, GGA-PBE
State: relaxed

Computed properties:
Crystal system ... hexagonal
Formation energy ... -8.383 eV/f.u.
Electronic total energy ... -75.80 eV per cell
Total magnetic moment ... 0.0 Bohr magnetons per cell

Cell lengths 9.1861, 9.1861, 6.8070 Å; angles 90.00, 90.00, 120.00 degrees
Sites, in units of the cell vectors:
Sm  0.0000  0.2371  0.0000
Sm  0.0000  0.7596  0.5000
Sm  0.2371  0.0000  0.0000
Sm  0.2404  0.2404  0.5000
Sm  0.3333  0.6667  0.2494
Sm  0.3333  0.6667  0.7506
Sm  0.6667  0.3333  0.2494
Sm  0.6667  0.3333  0.7506
Sm  0.7596  0.0000  0.5000
Sm  0.7629  0.7629  0.0000
In  0.0000  0.5992  0.0000
In  0.4008  0.4008  0.0000
In  0.5992  0.0000  0.0000
Sn  0.0000  0.3958  0.5000
Sn  0.3958  0.0000  0.5000
Sn  0.6042  0.6042  0.5000



Material: BeCo2As
Method: DFT, GGA-PBE
State: relaxed

Computed properties:
Crystal system ... tetragonal
Formation energy ... 0.864 eV/f.u.
Electronic total energy ... -86.89 eV per cell
Total magnetic moment ... 4.8 Bohr magnetons per cell

Cell lengths 3.5335, 3.5335, 15.4756 Å; angles 90.00, 90.00, 90.00 degrees
Sites, in units of the cell vectors:
Be  0.0000  0.0000  0.0000
Be  0.0000  0.5000  0.2500
Be  0.5000  0.0000  0.7500
Be  0.5000  0.5000  0.5000
Co  0.2248  0.2500  0.1250
Co  0.2500  0.7248  0.3750
Co  0.2500  0.7752  0.8750
Co  0.2752  0.2500  0.6250
Co  0.7248  0.7500  0.6250
Co  0.7500  0.2248  0.8750
Co  0.7500  0.2752  0.3750
Co  0.7752  0.7500  0.1250
As  0.0000  0.0000  0.5000
As  0.0000  0.5000  0.7500
As  0.5000  0.0000  0.2500
As  0.5000  0.5000  0.0000



Material: BiBC2
Method: DFT, GGA-PBE
State: relaxed

Computed properties:
Crystal system ... cubic
Formation energy ... 11.947 eV/f.u.
Electronic total energy ... -68.24 eV per cell
Total magnetic moment ... 0.0 Bohr magnetons per cell

Cell lengths 5.8283, 5.8283, 5.8283 Å; angles 90.00, 90.00, 90.00 degrees
Sites, in units of the cell vectors:
Bi  0.0000  0.0000  0.0000
Bi  0.0000  0.5000  0.5000
Bi  0.5000  0.0000  0.5000
Bi  0.5000  0.5000  0.0000
B  0.0000  0.0000  0.5000
B  0.0000  0.5000  0.0000
B  0.5000  0.0000  0.0000
B  0.5000  0.5000  0.5000
C  0.2500  0.2500  0.2500
C  0.2500  0.2500  0.7500
C  0.2500  0.7500  0.2500
C  0.2500  0.7500  0.7500
C  0.7500  0.2500  0.2500
C  0.7500  0.2500  0.7500
C  0.7500  0.7500  0.2500
C  0.7500  0.7500  0.7500



Material: ScGaTeN2
Method: DFT, GGA-PBE
State: relaxed

Computed properties:
Crystal system ... tetragonal
Formation energy (no corrections) ... 0.694 eV/atom
Electronic total energy ... -25.68 eV per cell
Total magnetic moment ... 1.3 Bohr magnetons per cell

Cell lengths 3.9771, 3.9771, 5.6328 Å; angles 90.00, 90.00, 90.00 degrees
Sites, in units of the cell vectors:
Sc  0.0000  0.0000  0.0000
Ga  0.5000  0.5000  0.5000
Te  0.5000  0.5000  0.0000
N  0.0000  0.5000  0.5000
N  0.5000  0.0000  0.5000



Material: Zr2ReNi
Method: DFT, GGA-PBE
State: relaxed

Computed properties:
Crystal system ... tetragonal
Formation energy ... 1.010 eV/f.u.
Electronic total energy ... -137.26 eV per cell
Total magnetic moment ... 0.0 Bohr magnetons per cell

Cell lengths 7.1603, 7.1603, 5.7090 Å; angles 90.00, 90.00, 90.00 degrees
Sites, in units of the cell vectors:
Zr  0.2349  0.2500  0.1250
Zr  0.2500  0.7349  0.3750
Zr  0.2500  0.7651  0.8750
Zr  0.2651  0.2500  0.6250
Zr  0.7349  0.7500  0.6250
Zr  0.7500  0.2349  0.8750
Zr  0.7500  0.2651  0.3750
Zr  0.7651  0.7500  0.1250
Re  0.0000  0.0000  0.5000
Re  0.0000  0.5000  0.7500
Re  0.5000  0.0000  0.2500
Re  0.5000  0.5000  0.0000
Ni  0.0000  0.0000  0.0000
Ni  0.0000  0.5000  0.2500
Ni  0.5000  0.0000  0.7500
Ni  0.5000  0.5000  0.5000



Material: Sr2MgGa12Ni3
Method: DFT, GGA-PBE
State: relaxed

Computed properties:
Crystal system ... trigonal
Formation energy ... -1.207 eV/f.u.
Electronic total energy ... -59.83 eV per cell
Total magnetic moment ... 0.0 Bohr magnetons per cell

Cell lengths 8.0172, 8.0172, 8.0172 Å; angles 67.28, 67.28, 67.28 degrees
Sites, in units of the cell vectors:
Sr  0.0998  0.0998  0.0998
Sr  0.9002  0.9002  0.9002
Mg  0.5000  0.5000  0.5000
Ga  0.1192  0.6321  0.6321
Ga  0.2270  0.2270  0.5858
Ga  0.2270  0.5858  0.2270
Ga  0.3679  0.3679  0.8808
Ga  0.3679  0.8808  0.3679
Ga  0.4142  0.7730  0.7730
Ga  0.5858  0.2270  0.2270
Ga  0.6321  0.1192  0.6321
Ga  0.6321  0.6321  0.1192
Ga  0.7730  0.4142  0.7730
Ga  0.7730  0.7730  0.4142
Ga  0.8808  0.3679  0.3679
Ni  0.0000  0.5000  0.5000
Ni  0.5000  0.0000  0.5000
Ni  0.5000  0.5000  0.0000



Material: Pr6HgTe3Rh2
Method: DFT, GGA-PBE
State: relaxed

Computed properties:
Crystal system ... monoclinic
Formation energy (no corrections) ... -0.961 eV/atom
Electronic total energy ... -64.64 eV per cell
Total magnetic moment ... 0.0 Bohr magnetons per cell

Cell lengths 10.0085, 10.0085, 9.2292 Å; angles 106.23, 106.23, 24.76 degrees
Sites, in units of the cell vectors:
Pr  0.0164  0.0164  0.2605
Pr  0.3220  0.3220  0.4346
Pr  0.3293  0.3293  0.8814
Pr  0.6707  0.6707  0.1186
Pr  0.6780  0.6780  0.5654
Pr  0.9836  0.9836  0.7395
Hg  0.5000  0.5000  0.0000
Te  0.1600  0.1600  0.8365
Te  0.5000  0.5000  0.5000
Te  0.8400  0.8400  0.1635
Rh  0.1687  0.1687  0.3364
Rh  0.8313  0.8313  0.6636